# BeCd2Cu (PBE, optimized geometry)
# Formation energy = 364 meV/atom
# E above lowest polymorph = 236 meV/atom
# Magnetization = 0.00 μB/cell
# DOS at the Fermi energy = 0.330 states/eV/atom
# Electronic total energy = -2.0487 eV per atom
data_BeCd2Cu
_chemical_formula_sum 'Be3 Cd6 Cu3'
_cell_length_a 2.9298
_cell_length_b 2.9298
_cell_length_c 26.1038
_cell_angle_alpha 90.00
_cell_angle_beta 90.00
_cell_angle_gamma 120.00
_symmetry_space_group_name_H-M 'R -3 m'
_symmetry_Int_Tables_number 166
_symmetry_space_group_name_Hall '-R 3 2"'
loop_
_atom_site_label
_atom_site_fract_x
_atom_site_fract_y
_atom_site_fract_z
Be1 0.0000 0.0000 0.0000
Cd1 0.0000 0.0000 0.2530
Cu1 0.0000 0.0000 0.5000

---

# Be2CdCu (PBE, optimized geometry)
# Formation energy = 285 meV/atom
# Magnetization = 0.00 μB/cell
# DOS at the Fermi energy = 0.239 states/eV/atom
# Electronic total energy = -2.8308 eV per atom
data_Be2CdCu
_chemical_formula_sum 'Be2 Cd1 Cu1'
_cell_length_a 2.599
_cell_length_b 3.862
_cell_length_c 5.208
_cell_angle_alpha 90.00
_cell_angle_beta 102.69
_cell_angle_gamma 90.00
_symmetry_space_group_name_H-M 'P 1 2/m 1'
_symmetry_Int_Tables_number 10
loop_
_symmetry_equiv_pos_as_xyz
'x,y,z'
'-x,-y,-z'
'-x,y,-z'
'x,-y,z'
loop_
_atom_site_label
_atom_site_fract_x
_atom_site_fract_y
_atom_site_fract_z
Be1 0.214 0.000 0.307
Cd1 0.500 0.500 0.000
Cu1 0.000 0.500 0.500

---

# Be3CdCu10 (PBE, optimized geometry)
# Formation energy = 107 meV/atom
# Magnetization = 0.00 μB/cell
# DOS at the Fermi energy = 0.423 states/eV/atom
# Electronic total energy = -3.6823 eV per atom
data_Be3CdCu10
_chemical_formula_sum 'Be24 Cd8 Cu80'
_cell_length_a 11.148
_cell_length_b 11.148
_cell_length_c 11.148
_cell_angle_alpha 90.00
_cell_angle_beta 90.00
_cell_angle_gamma 90.00
_symmetry_space_group_name_H-M 'F m -3 m'
_symmetry_Int_Tables_number 225
_symmetry_space_group_name_Hall '-F 4 2 3'
loop_
_atom_site_label
_atom_site_fract_x
_atom_site_fract_y
_atom_site_fract_z
Be1 0.000 0.000 0.228
Cd1 0.250 0.250 0.250
Cu1 0.000 0.171 0.329
Cu2 0.115 0.115 0.115

---

# BeCd2Cu (PBE, optimized geometry)
# Formation energy = 340 meV/atom
# E above lowest polymorph = 211 meV/atom
# Magnetization = 0.00 μB/cell
# DOS at the Fermi energy = 0.172 states/eV/atom
# Electronic total energy = -2.0735 eV per atom
data_BeCd2Cu
_chemical_formula_sum 'Be4 Cd8 Cu4'
_cell_length_a 6.342
_cell_length_b 6.342
_cell_length_c 6.342
_cell_angle_alpha 90.00
_cell_angle_beta 90.00
_cell_angle_gamma 90.00
_symmetry_space_group_name_H-M 'F -4 3 m'
_symmetry_Int_Tables_number 216
_symmetry_space_group_name_Hall 'F -4 2 3'
loop_
_atom_site_label
_atom_site_fract_x
_atom_site_fract_y
_atom_site_fract_z
Be1 0.000 0.000 0.000
Cd1 0.000 0.000 0.500
Cd2 0.250 0.250 0.250
Cu1 0.250 0.250 0.750